[1]
A relaxed EuErSnPd crystal, computed with PBE.

Values from the calculation:
Symmetry = F-43m (216)
Electronic total energy = -6.665 eV per atom

Unit cell a=5.2281 b=5.2281 c=5.2281 alpha=60.00 beta=60.00 gamma=60.00
Fractional coordinates of all 4 atoms:
Eu (0.0000, 0.0000, 0.0000)
Er (0.5000, 0.5000, 0.5000)
Sn (0.2500, 0.2500, 0.2500)
Pd (0.7500, 0.7500, 0.7500)

[2]
A relaxed EuErTlPd crystal, computed with PBE.

Values from the calculation:
Symmetry = F-43m (216)
Electronic total energy = -6.068 eV per atom

Unit cell a=5.2465 b=5.2465 c=5.2465 alpha=60.00 beta=60.00 gamma=60.00
Fractional coordinates of all 4 atoms:
Eu (0.0000, 0.0000, 0.0000)
Er (0.5000, 0.5000, 0.5000)
Tl (0.7500, 0.7500, 0.7500)
Pd (0.2500, 0.2500, 0.2500)

[3]
A relaxed EuErZnPd crystal, computed with PBE.

Values from the calculation:
Symmetry = F-43m (216)
Electronic total energy = -5.821 eV per atom

Unit cell a=5.0667 b=5.0667 c=5.0667 alpha=60.00 beta=60.00 gamma=60.00
Fractional coordinates of all 4 atoms:
Eu (0.0000, 0.0000, 0.0000)
Er (0.5000, 0.5000, 0.5000)
Zn (0.2500, 0.2500, 0.2500)
Pd (0.7500, 0.7500, 0.7500)

[4]
A relaxed PmPrEuEr crystal, computed with PBE.

Values from the calculation:
Symmetry = F-43m (216)
Electronic total energy = -5.939 eV per atom

Unit cell a=5.8400 b=5.8400 c=5.8400 alpha=60.00 beta=60.00 gamma=60.00
Fractional coordinates of all 4 atoms:
Pm (0.0000, 0.0000, 0.0000)
Pr (0.2500, 0.2500, 0.2500)
Eu (0.5000, 0.5000, 0.5000)
Er (0.7500, 0.7500, 0.7500)

[5]
A relaxed PmEuErSn crystal, computed with PBE.

Values from the calculation:
Symmetry = F-43m (216)
Electronic total energy = -6.139 eV per atom

Unit cell a=5.4955 b=5.4955 c=5.4955 alpha=60.00 beta=60.00 gamma=60.00
Fractional coordinates of all 4 atoms:
Pm (0.0000, 0.0000, 0.0000)
Eu (0.2500, 0.2500, 0.2500)
Er (0.5000, 0.5000, 0.5000)
Sn (0.7500, 0.7500, 0.7500)

[6]
A relaxed SrPmEuEr crystal, computed with PBE.

Values from the calculation:
Symmetry = F-43m (216)
Electronic total energy = -5.113 eV per atom

Unit cell a=6.0070 b=6.0070 c=6.0070 alpha=60.00 beta=60.00 gamma=60.00
Fractional coordinates of all 4 atoms:
Sr (0.0000, 0.0000, 0.0000)
Pm (0.7500, 0.7500, 0.7500)
Eu (0.2500, 0.2500, 0.2500)
Er (0.5000, 0.5000, 0.5000)

[7]
A relaxed PmEuErTm crystal, computed with PBE.

Values from the calculation:
Symmetry = F-43m (216)
Electronic total energy = -5.867 eV per atom

Unit cell a=5.7395 b=5.7395 c=5.7395 alpha=60.00 beta=60.00 gamma=60.00
Fractional coordinates of all 4 atoms:
Pm (0.0000, 0.0000, 0.0000)
Eu (0.5000, 0.5000, 0.5000)
Er (0.7500, 0.7500, 0.7500)
Tm (0.2500, 0.2500, 0.2500)

[8]
A relaxed PmEuYEr crystal, computed with PBE.

Values from the calculation:
Symmetry = F-43m (216)
Electronic total energy = -6.365 eV per atom

Unit cell a=5.7761 b=5.7761 c=5.7761 alpha=60.00 beta=60.00 gamma=60.00
Fractional coordinates of all 4 atoms:
Pm (0.0000, 0.0000, 0.0000)
Eu (0.5000, 0.5000, 0.5000)
Y (0.2500, 0.2500, 0.2500)
Er (0.7500, 0.7500, 0.7500)